Entry 1:
The following is a GGA-PBE calculation of a geometry-optimized Ba2Tl3AgPb4 structure, from Alexandria.

Cell lengths 5.0123, 5.0123, 13.7182 Å; angles 90.00, 90.00, 90.00 degrees
With the nearest neighbours (Å) after each atom.
Element x y z (fractional)
Ba1 0.0000 0.5000 0.2329  4 Pb 3.83, 6 Tl 3.91-4.06, 2 Ag 4.06
Ba2 0.5000 0.0000 0.7671  4 Pb 3.83, 6 Tl 3.91-4.06, 2 Ag 4.06
Tl1 0.0000 0.0000 0.0000  4 Pb 3.05
Tl2 0.0000 0.5000 0.6475  5 Pb 3.09-3.22
Tl3 0.5000 0.0000 0.3525  5 Pb 3.09-3.22
Ag1 0.5000 0.5000 0.0000  4 Pb 3.05
Pb1 0.0000 0.0000 0.5000  4 Tl 3.22, 4 Pb 3.54
Pb2 0.0000 0.5000 0.8730  3 Tl 3.05-3.09, 2 Ag 3.05
Pb3 0.5000 0.0000 0.1270  3 Tl 3.05-3.09, 2 Ag 3.05
Pb4 0.5000 0.5000 0.5000  4 Tl 3.22, 4 Pb 3.54

## Properties
N(E_F) ... 0.490 states/eV/atom
Calculated formation energy ... -0.207 eV/atom
Energy ... -3.0702 eV per atom
Total magnetization ... 0.0 μB per formula unit

***

Entry 2:
The following is a GGA-PBE calculation of a geometry-optimized Ba2TlAg3Pb4 structure, from Alexandria.

Cell lengths 5.0337, 5.0337, 12.1918 Å; angles 90.00, 90.00, 90.00 degrees
With the nearest neighbours (Å) after each atom.
Element x y z (fractional)
Ba1 0.0000 0.5000 0.2493  8 Pb 3.80-3.96, 6 Ag 3.86-3.95, 2 Tl 3.95
Ba2 0.5000 0.0000 0.7507  8 Pb 3.80-3.96, 6 Ag 3.86-3.95, 2 Tl 3.95
Tl1 0.5000 0.5000 0.0000  4 Pb 3.05
Ag1 0.0000 0.0000 0.0000  4 Pb 3.05
Ag2 0.0000 0.5000 0.6280  5 Pb 2.82-2.96
Ag3 0.5000 0.0000 0.3720  5 Pb 2.82-2.96
Pb1 0.0000 0.0000 0.5000  4 Ag 2.96
Pb2 0.0000 0.5000 0.8591  3 Ag 2.82-3.05, 2 Tl 3.05
Pb3 0.5000 0.0000 0.1409  3 Ag 2.82-3.05, 2 Tl 3.05
Pb4 0.5000 0.5000 0.5000  4 Ag 2.96

## Properties
N(E_F) ... 0.446 states/eV/atom
Calculated formation energy ... -0.258 eV/atom
Energy ... -3.2177 eV per atom
Total magnetization ... 0.0 μB per formula unit

***

Entry 3:
The following is a GGA-PBE calculation of a geometry-optimized Ba2Tl3Ag4Pb structure, from Alexandria.

Cell lengths 5.0110, 5.0110, 11.6812 Å; angles 90.00, 90.00, 90.00 degrees
With the nearest neighbours (Å) after each atom.
Element x y z (fractional)
Ba1 0.0000 0.5000 0.2442  8 Ag 3.80-3.81, 6 Tl 3.82-3.90, 2 Pb 3.90
Ba2 0.5000 0.0000 0.7558  8 Ag 3.80-3.81, 6 Tl 3.82-3.90, 2 Pb 3.90
Tl1 0.0000 0.5000 0.8789  5 Ag 2.84-2.88
Tl2 0.5000 0.0000 0.1211  5 Ag 2.84-2.88
Tl3 0.5000 0.5000 0.5000  4 Ag 2.96
Ag1 0.0000 0.0000 0.0000  4 Tl 2.88
Ag2 0.0000 0.5000 0.6355  3 Tl 2.84-2.96, 2 Pb 2.96
Ag3 0.5000 0.0000 0.3645  3 Tl 2.84-2.96, 2 Pb 2.96
Ag4 0.5000 0.5000 0.0000  4 Tl 2.88
Pb1 0.0000 0.0000 0.5000  4 Ag 2.96

## Properties
N(E_F) ... 0.627 states/eV/atom
Calculated formation energy ... -0.194 eV/atom
Energy ... -2.7993 eV per atom
Total magnetization ... 0.0 μB per formula unit

***

What is the total magnetization in the first record?
0.0 μB per formula unit